Material: Al4Tc5
Method: DFT, GGA-PBE
State: relaxed

Results
total magnetization = 0.00 μB/f.u.
DFT formation energy = -1.93 eV per formula unit
raw total energy = -7.64 eV per atom

abc: 7.706 7.706 5.038
angles: 90.00 90.00 120.00
Fractional positions:
Tc (0.333, 0.667, 0.500)
Al (0.381, 0.381, 0.750)
Al (0.000, 0.381, 0.250)
Tc (0.288, 0.000, 0.750)
Tc (0.333, 0.667, 0.000)
Al (0.000, 0.619, 0.750)
Al (0.381, 0.000, 0.250)
Tc (0.288, 0.288, 0.250)
Tc (0.000, 0.712, 0.250)
Al (0.000, 0.000, 0.500)
Tc (0.000, 0.288, 0.750)
Tc (0.667, 0.333, 0.500)
Tc (0.667, 0.333, 0.000)
Al (0.000, 0.000, 0.000)
Tc (0.712, 0.712, 0.750)
Al (0.619, 0.000, 0.750)
Al (0.619, 0.619, 0.250)
Tc (0.712, 0.000, 0.250)


Material: Al3Tc5
Method: DFT, GGA-PBE
State: relaxed

Results
total magnetization = 0.00 μB/f.u.
DFT formation energy = -1.04 eV per formula unit
raw total energy = -8.01 eV per atom

abc: 7.360 7.360 4.947
angles: 90.00 90.00 120.00
Fractional positions:
Tc (0.230, 0.230, 0.750)
Tc (0.230, 0.000, 0.250)
Al (0.603, 0.000, 0.250)
Tc (0.770, 0.770, 0.250)
Al (0.397, 0.000, 0.750)
Tc (0.000, 0.770, 0.750)
Al (0.397, 0.397, 0.250)
Tc (0.667, 0.333, 0.500)
Tc (0.333, 0.667, 0.000)
Tc (0.000, 0.230, 0.250)
Al (0.000, 0.603, 0.250)
Tc (0.770, 0.000, 0.750)
Al (0.000, 0.397, 0.750)
Tc (0.667, 0.333, 0.000)
Tc (0.333, 0.667, 0.500)
Al (0.603, 0.603, 0.750)


Material: Al3Tc
Method: DFT, GGA-PBE
State: relaxed

Results
total magnetization = 0.00 μB/f.u.
DFT formation energy = -1.05 eV per formula unit
raw total energy = -5.66 eV per atom

abc: 4.478 2.827 4.698
angles: 90.00 90.00 90.00
Fractional positions:
Al (0.000, 0.500, 0.501)
Al (0.500, 0.500, 0.166)
Al (0.000, 0.000, 0.992)
Tc (0.500, 0.000, 0.674)


Material: AlTc3
Method: DFT, GGA-PBE
State: relaxed

Results
total magnetization = 0.00 μB/f.u.
DFT formation energy = -0.20 eV per formula unit
raw total energy = -8.76 eV per atom

abc: 5.028 5.028 5.028
angles: 116.77 116.77 116.77
Fractional positions:
Tc (0.000, 0.500, 0.500)
Al (0.000, 0.000, 0.000)
Tc (0.500, 0.500, 0.000)
Tc (0.500, 0.000, 0.500)


Material: Al2Tc
Method: DFT, GGA-PBE
State: relaxed

Results
total magnetization = 0.00 μB/f.u.
DFT formation energy = -1.23 eV per formula unit
raw total energy = -6.36 eV per atom

abc: 4.813 4.813 4.513
angles: 90.00 90.00 123.62
Fractional positions:
Tc (0.773, 0.773, 0.750)
Tc (0.227, 0.227, 0.250)
Al (0.876, 0.558, 0.250)
Al (0.442, 0.124, 0.750)
Al (0.124, 0.442, 0.750)
Al (0.558, 0.876, 0.250)


Material: Al4Tc
Method: DFT, GGA-PBE
State: relaxed

Results
total magnetization = 0.00 μB/f.u.
DFT formation energy = 1.06 eV per formula unit
raw total energy = -4.86 eV per atom

abc: 5.012 5.012 5.012
angles: 102.35 102.35 124.90
Fractional positions:
Al (0.702, 0.298, 0.000)
Tc (0.000, 0.000, 0.000)
Al (0.298, 0.702, 0.000)
Al (0.702, 0.702, 0.403)
Al (0.298, 0.298, 0.597)


Material: Al5Tc
Method: DFT, GGA-PBE
State: relaxed

Results
total magnetization = 0.59 μB/f.u.
DFT formation energy = -0.87 eV per formula unit
raw total energy = -4.99 eV per atom

abc: 7.296 7.296 4.406
angles: 90.00 90.00 156.59
Each line ends with the local moment (μB).
Fractional positions:
Tc (0.109, 0.891, 0.500)  0.52
Al (0.662, 0.338, 0.000)  0.00
Al (0.337, 0.663, 0.000)  0.00
Al (0.002, 0.998, 0.000)  0.00
Al (0.769, 0.231, 0.500)  0.00
Al (0.454, 0.546, 0.500)  0.00


Material: Al2Tc
Method: DFT, GGA-PBE
State: relaxed

Results
total magnetization = 0.00 μB/f.u.
DFT formation energy = -0.32 eV per formula unit
raw total energy = -6.06 eV per atom

abc: 6.194 6.194 6.194
angles: 153.93 153.93 37.20
Fractional positions:
Tc (0.000, 0.000, 0.000)
Al (0.344, 0.344, 0.000)
Al (0.656, 0.656, 0.000)


Material: Al3Tc
Method: DFT, GGA-PBE
State: relaxed

Results
total magnetization = 0.00 μB/f.u.
DFT formation energy = -0.39 eV per formula unit
raw total energy = -5.50 eV per atom

abc: 2.894 2.894 8.608
angles: 90.00 90.00 120.00
Fractional positions:
Tc (0.667, 0.333, 0.750)
Al (0.667, 0.333, 0.250)
Al (0.000, 0.000, 0.982)
Al (0.000, 0.000, 0.518)


Material: AlTc3
Method: DFT, GGA-PBE
State: relaxed

Results
total magnetization = 0.00 μB/f.u.
DFT formation energy = -0.43 eV per formula unit
raw total energy = -8.82 eV per atom

abc: 5.423 5.423 4.550
angles: 90.00 90.00 120.00
Fractional positions:
Tc (0.829, 0.171, 0.250)
Tc (0.829, 0.657, 0.250)
Tc (0.171, 0.343, 0.750)
Al (0.667, 0.333, 0.750)
Al (0.333, 0.667, 0.250)
Tc (0.171, 0.829, 0.750)
Tc (0.343, 0.171, 0.250)
Tc (0.657, 0.829, 0.750)


Material: Al4Tc
Method: DFT, GGA-PBE
State: relaxed

Results
total magnetization = 0.00 μB/f.u.
DFT formation energy = -1.89 eV per formula unit
raw total energy = -5.44 eV per atom

abc: 9.167 9.167 5.169
angles: 86.84 86.84 147.01
Fractional positions:
Al (0.060, 0.300, 0.217)
Al (0.264, 0.418, 0.684)
Tc (0.805, 0.532, 0.331)
Al (0.418, 0.264, 0.684)
Al (0.693, 0.943, 0.810)
Al (0.504, 0.504, 0.149)
Al (0.943, 0.693, 0.810)
Al (0.854, 0.854, 0.507)
Tc (0.532, 0.805, 0.331)
Al (0.552, 0.083, 0.589)
Al (0.728, 0.231, 0.067)
Al (0.083, 0.552, 0.589)
Al (0.300, 0.060, 0.217)
Al (0.231, 0.728, 0.067)
Tc (0.012, 0.012, 0.993)


Material: AlTc3
Method: DFT, GGA-PBE
State: relaxed

Results
total magnetization = 0.00 μB/f.u.
DFT formation energy = -0.63 eV per formula unit
raw total energy = -8.87 eV per atom

abc: 4.882 4.882 4.882
angles: 90.00 90.00 90.00
Fractional positions:
Tc (0.000, 0.750, 0.500)
Tc (0.250, 0.500, 0.000)
Tc (0.000, 0.250, 0.500)
Tc (0.500, 0.000, 0.250)
Tc (0.500, 0.000, 0.750)
Al (0.000, 0.000, 0.000)
Tc (0.750, 0.500, 0.000)
Al (0.500, 0.500, 0.500)


Material: Al5Tc
Method: DFT, GGA-PBE
State: relaxed

Results
total magnetization = 0.00 μB/f.u.
DFT formation energy = 1.88 eV per formula unit
raw total energy = -4.53 eV per atom

abc: 4.914 4.914 4.688
angles: 90.00 90.00 120.00
Fractional positions:
Al (0.333, 0.667, 0.000)
Tc (0.000, 0.000, 0.000)
Al (0.500, 0.500, 0.500)
Al (0.667, 0.333, 0.000)
Al (0.000, 0.500, 0.500)
Al (0.500, 0.000, 0.500)


Material: Al3Tc
Method: DFT, GGA-PBE
State: relaxed

Results
total magnetization = 0.00 μB/f.u.
DFT formation energy = -0.13 eV per formula unit
raw total energy = -5.43 eV per atom

abc: 5.302 5.302 4.610
angles: 90.00 90.00 91.28
Fractional positions:
Al (0.442, 0.900, 0.750)
Tc (0.395, 0.605, 0.250)
Al (0.075, 0.925, 0.250)
Al (0.558, 0.100, 0.250)
Al (0.100, 0.558, 0.750)
Al (0.900, 0.442, 0.250)
Al (0.925, 0.075, 0.750)
Tc (0.605, 0.395, 0.750)


Material: Al3Tc
Method: DFT, GGA-PBE
State: relaxed

Results
total magnetization = 0.00 μB/f.u.
DFT formation energy = -0.84 eV per formula unit
raw total energy = -5.61 eV per atom

abc: 4.947 4.947 4.947
angles: 90.00 90.00 90.00
Fractional positions:
Al (0.250, 0.500, 0.000)
Al (0.000, 0.750, 0.500)
Tc (0.000, 0.000, 0.000)
Al (0.000, 0.250, 0.500)
Al (0.750, 0.500, 0.000)
Tc (0.500, 0.500, 0.500)
Al (0.500, 0.000, 0.750)
Al (0.500, 0.000, 0.250)


Material: Al2Tc
Method: DFT, GGA-PBE
State: relaxed

Results
total magnetization = 0.00 μB/f.u.
DFT formation energy = -0.84 eV per formula unit
raw total energy = -6.23 eV per atom

abc: 4.409 4.409 2.756
angles: 90.00 90.00 90.00
Fractional positions:
Al (0.000, 0.500, 0.000)
Al (0.500, 0.000, 0.000)
Tc (0.000, 0.000, 0.500)


Material: Al2Tc
Method: DFT, GGA-PBE
State: relaxed

Results
total magnetization = 0.09 μB/f.u.
DFT formation energy = -0.48 eV per formula unit
raw total energy = -6.11 eV per atom

abc: 4.394 4.394 5.233
angles: 90.00 90.00 120.00
Each line ends with the local moment (μB).
Fractional positions:
Al (0.000, 0.000, 0.500)  0.00
Tc (0.667, 0.333, 0.250)  0.08
Tc (0.333, 0.667, 0.750)  0.08
Al (0.333, 0.667, 0.250)  0.00
Al (0.667, 0.333, 0.750)  0.00
Al (0.000, 0.000, 0.000)  0.00


Material: AlTc3
Method: DFT, GGA-PBE
State: relaxed

Results
total magnetization = 0.00 μB/f.u.
DFT formation energy = -0.10 eV per formula unit
raw total energy = -8.73 eV per atom

abc: 8.603 8.603 8.603
angles: 154.69 154.69 36.10
Fractional positions:
Tc (0.250, 0.750, 0.500)
Al (0.376, 0.376, 0.000)
Tc (0.876, 0.876, 0.000)
Al (0.624, 0.624, 0.000)
Tc (0.124, 0.124, 0.000)
Tc (0.000, 0.500, 0.500)
Tc (0.750, 0.250, 0.500)
Tc (0.500, 0.000, 0.500)


Material: Al5Tc
Method: DFT, GGA-PBE
State: relaxed

Results
total magnetization = 0.00 μB/f.u.
DFT formation energy = -1.29 eV per formula unit
raw total energy = -5.06 eV per atom

abc: 5.110 5.110 6.100
angles: 75.68 75.68 36.98
Fractional positions:
Al (0.946, 0.946, 0.600)
Al (0.632, 0.632, 0.244)
Al (0.328, 0.328, 0.349)
Tc (0.284, 0.284, 0.931)
Al (0.659, 0.659, 0.694)
Al (0.985, 0.985, 0.015)


Material: Al2Tc3
Method: DFT, GGA-PBE
State: relaxed

Results
total magnetization = 0.00 μB/f.u.
DFT formation energy = -0.77 eV per formula unit
raw total energy = -7.87 eV per atom

abc: 8.007 7.103 5.069
angles: 80.38 61.00 38.62
Fractional positions:
Tc (0.143, 0.143, 0.357)
Tc (0.357, 0.357, 0.143)
Al (0.553, 0.553, 0.947)
Tc (0.107, 0.107, 0.893)
Tc (0.500, 0.500, 0.500)
Al (0.697, 0.697, 0.303)
Al (0.303, 0.303, 0.697)
Al (0.947, 0.947, 0.553)
Tc (0.750, 0.750, 0.750)
Tc (0.893, 0.893, 0.107)